(1)
## ReIrPt (PBE)

Data for ReIrPt after structural relaxation.

Cell lengths 4.2334, 4.2334, 4.2334 Å; angles 60.00, 60.00, 60.00 degrees
Atoms (fractional coordinates):
Re1 0.0000 0.0000 0.0000
Ir1 0.2500 0.2500 0.2500
Pt1 0.7500 0.7500 0.7500

Energy (eV per atom): -8.65
Formation enthalpy at 0 K (meV/atom): 464
SG: F-43m
Energy relative to the lowest polymorph listed for this composition (meV/atom): 616
D(E_F) (states/eV/f.u.): 3.9

(2)
## Re2IrPt (PBE)

Data for Re2IrPt after structural relaxation.

Cell lengths 4.8482, 4.8482, 2.7249 Å; angles 90.00, 90.00, 111.89 degrees
Atoms (fractional coordinates):
Re1 0.0000 0.5000 0.0000
Re2 0.5000 0.0000 0.0000
Ir1 0.0000 0.0000 0.5000
Pt1 0.5000 0.5000 0.5000

Energy (eV per atom): -10.00
Formation enthalpy at 0 K (meV/atom): -54
SG: Cmmm
Energy relative to the lowest polymorph listed for this composition (meV/atom): 107
D(E_F) (states/eV/f.u.): 3.3

(3)
## ReIrPt2 (PBE)

Data for ReIrPt2 after structural relaxation.

Cell lengths 4.8027, 4.8027, 4.8009 Å; angles 99.57, 99.57, 33.58 degrees
Atoms (fractional coordinates):
Re1 0.0000 0.0000 0.0000
Ir1 0.5000 0.5000 0.5000
Pt1 0.2516 0.2516 0.7553
Pt2 0.7484 0.7484 0.2447

Energy (eV per atom): -8.36
Formation enthalpy at 0 K (meV/atom): -17
SG: C2/m
Energy relative to the lowest polymorph listed for this composition (meV/atom): 144
D(E_F) (states/eV/f.u.): 4.8